1.
# SCAN Ta5Pt3, single point on PBEsol structure
# * formation energy: -0.597 eV per atom
data_Ta5Pt3
_cell_length_a 7.6428
_cell_length_b 8.3570
_cell_length_c 4.1146
_cell_angle_alpha 90.00
_cell_angle_beta 90.00
_cell_angle_gamma 90.00
_symmetry_space_group_name_H-M 'C m m m'
_symmetry_Int_Tables_number 65
_symmetry_space_group_name_Hall '-C 2 2'
loop_
_atom_site_label
_atom_site_type_symbol
_atom_site_fract_x
_atom_site_fract_y
_atom_site_fract_z
Ta1 Ta 0.0000 0.0000 0.0000
Ta2 Ta 0.0000 0.2695 0.5000
Ta3 Ta 0.2500 0.2500 0.0000
Pt1 Pt 0.0000 0.5000 0.0000
Pt2 Pt 0.2438 0.0000 0.5000

2.
# SCAN ZnMoP2, single point on PBEsol structure
# * formation energy: 0.233 eV per atom
data_ZnMoP2
_cell_length_a 5.5668
_cell_length_b 6.2536
_cell_length_c 3.1256
_cell_angle_alpha 90.00
_cell_angle_beta 90.00
_cell_angle_gamma 90.00
_symmetry_space_group_name_H-M 'C m m m'
_symmetry_Int_Tables_number 65
_symmetry_space_group_name_Hall '-C 2 2'
loop_
_atom_site_label
_atom_site_type_symbol
_atom_site_fract_x
_atom_site_fract_y
_atom_site_fract_z
Zn1 Zn 0.0000 0.0000 0.0000
Mo1 Mo 0.0000 0.5000 0.0000
P1 P 0.2500 0.2500 0.5000

3.
# SCAN Mn2Ir, single point on PBEsol structure
# * formation energy: -0.097 eV per atom
data_Mn2Ir
_cell_length_a 2.5955
_cell_length_b 13.2689
_cell_length_c 4.0485
_cell_angle_alpha 90.00
_cell_angle_beta 90.00
_cell_angle_gamma 90.00
_symmetry_space_group_name_H-M 'C m c m'
_symmetry_Int_Tables_number 63
_symmetry_space_group_name_Hall '-C 2c 2'
loop_
_atom_site_label
_atom_site_type_symbol
_atom_site_fract_x
_atom_site_fract_y
_atom_site_fract_z
Mn1 Mn 0.0000 0.0560 0.2500
Mn2 Mn 0.0000 0.2773 0.7500
Ir1 Ir 0.0000 0.3888 0.2500

4.
# SCAN BaNi2Br, single point on PBEsol structure
# * formation energy without anion corrections: 0.397 eV per atom
data_BaNi2Br
_cell_length_a 3.3742
_cell_length_b 5.1364
_cell_length_c 9.3114
_cell_angle_alpha 90.00
_cell_angle_beta 90.00
_cell_angle_gamma 90.00
_symmetry_space_group_name_H-M 'I m m m'
_symmetry_Int_Tables_number 71
_symmetry_space_group_name_Hall '-I 2 2'
loop_
_atom_site_label
_atom_site_type_symbol
_atom_site_fract_x
_atom_site_fract_y
_atom_site_fract_z
Ba1 Ba 0.0000 0.0000 0.0000
Ni1 Ni 0.0000 0.5000 0.2220
Br1 Br 0.0000 0.0000 0.5000

5.
# SCAN Mn3CrO8, single point on PBEsol structure
# * formation energy without anion corrections: -2.022 eV per atom
data_Mn3CrO8
_cell_length_a 8.0442
_cell_length_b 8.0442
_cell_length_c 8.0442
_cell_angle_alpha 90.00
_cell_angle_beta 90.00
_cell_angle_gamma 90.00
_symmetry_space_group_name_H-M 'P 43 3 2'
_symmetry_Int_Tables_number 212
_symmetry_space_group_name_Hall 'P 4acd 2ab 3'
loop_
_atom_site_label
_atom_site_type_symbol
_atom_site_fract_x
_atom_site_fract_y
_atom_site_fract_z
Mn1 Mn 0.1239 0.1261 0.6250
Cr1 Cr 0.1250 0.8750 0.3750
O1 O 0.1086 0.1116 0.3902
O2 O 0.1119 0.6119 0.8881

6.
# SCAN NaRhCl3, single point on PBEsol structure
# * formation energy without anion corrections: -0.996 eV per atom
data_NaRhCl3
_cell_length_a 4.7493
_cell_length_b 4.7493
_cell_length_c 4.7493
_cell_angle_alpha 90.00
_cell_angle_beta 90.00
_cell_angle_gamma 90.00
_symmetry_space_group_name_H-M 'P m -3 m'
_symmetry_Int_Tables_number 221
_symmetry_space_group_name_Hall '-P 4 2 3'
loop_
_atom_site_label
_atom_site_type_symbol
_atom_site_fract_x
_atom_site_fract_y
_atom_site_fract_z
Na1 Na 0.0000 0.0000 0.0000
Rh1 Rh 0.5000 0.5000 0.5000
Cl1 Cl 0.0000 0.5000 0.5000

7.
# SCAN ScSbTe2N, single point on PBEsol structure
# * formation energy without anion corrections: 0.437 eV per atom
data_ScSbTe2N
_cell_length_a 5.6844
_cell_length_b 5.6844
_cell_length_c 3.9228
_cell_angle_alpha 90.00
_cell_angle_beta 90.00
_cell_angle_gamma 90.00
_symmetry_space_group_name_H-M 'P 4/m m m'
_symmetry_Int_Tables_number 123
_symmetry_space_group_name_Hall '-P 4 2'
loop_
_atom_site_label
_atom_site_type_symbol
_atom_site_fract_x
_atom_site_fract_y
_atom_site_fract_z
Sc1 Sc 0.0000 0.0000 0.0000
Sb1 Sb 0.5000 0.5000 0.5000
Te1 Te 0.0000 0.5000 0.5000
N1 N 0.5000 0.5000 0.0000

8.
# SCAN Rb5Re3S7, single point on PBEsol structure
# * formation energy without anion corrections: -1.010 eV per atom
data_Rb5Re3S7
_cell_length_a 10.4957
_cell_length_b 10.5051
_cell_length_c 10.5338
_cell_angle_alpha 60.82
_cell_angle_beta 60.84
_cell_angle_gamma 60.64
_symmetry_space_group_name_H-M 'P 1'
_symmetry_Int_Tables_number 1
_symmetry_space_group_name_Hall 'P 1'
loop_
_atom_site_label
_atom_site_type_symbol
_atom_site_fract_x
_atom_site_fract_y
_atom_site_fract_z
Rb1 Rb 0.0000 0.0000 0.0000
Rb2 Rb 0.0020 0.5709 0.0222
Rb3 Rb 0.0133 0.5806 0.4079
Rb4 Rb 0.1246 0.1439 0.5642
Rb5 Rb 0.4338 0.5661 0.9992
Rb6 Rb 0.4363 0.5602 0.4136
Rb7 Rb 0.5261 0.1056 0.3965
Rb8 Rb 0.5750 0.7000 0.5640
Rb9 Rb 0.8838 0.4487 0.8380
Rb10 Rb 0.9927 0.0029 0.4105
Re1 Re 0.3812 0.1966 0.0470
Re2 Re 0.3812 0.9476 0.0430
Re3 Re 0.3817 0.1953 0.7953
Re4 Re 0.6294 0.9484 0.7957
Re5 Re 0.6297 0.1978 0.8008
Re6 Re 0.6295 0.9491 0.0472
S1 S 0.1630 0.1877 0.0315
S2 S 0.2215 0.7865 0.2013
S3 S 0.2294 0.3479 0.2160
S4 S 0.2299 0.3425 0.6257
S5 S 0.3891 0.4151 0.8091
S6 S 0.3905 0.9560 0.8045
S7 S 0.3908 0.9582 0.2632
S8 S 0.6210 0.1888 0.0366
S9 S 0.6215 0.7302 0.0322
S10 S 0.6223 0.1885 0.5819
S11 S 0.7788 0.7954 0.6278
S12 S 0.7808 0.7979 0.2162
S13 S 0.7879 0.3604 0.6524
S14 S 0.8483 0.9579 0.8093

Copy entry 4 word for word.
# SCAN BaNi2Br, single point on PBEsol structure
# * formation energy without anion corrections: 0.397 eV per atom
data_BaNi2Br
_cell_length_a 3.3742
_cell_length_b 5.1364
_cell_length_c 9.3114
_cell_angle_alpha 90.00
_cell_angle_beta 90.00
_cell_angle_gamma 90.00
_symmetry_space_group_name_H-M 'I m m m'
_symmetry_Int_Tables_number 71
_symmetry_space_group_name_Hall '-I 2 2'
loop_
_atom_site_label
_atom_site_type_symbol
_atom_site_fract_x
_atom_site_fract_y
_atom_site_fract_z
Ba1 Ba 0.0000 0.0000 0.0000
Ni1 Ni 0.0000 0.5000 0.2220
Br1 Br 0.0000 0.0000 0.5000